The following is a PBE with a Hubbard U calculation of crystalline Sc2CoF at its relaxed geometry, from the Alexandria database.

## Properties
V in Å³ per cell: 61.32
Theoretical density in kg/m³: 4545
Raw total energy in eV/atom: -5.441
Distance to the lowest polymorph of the same formula in meV per atom: 569
Space-group type: Fm-3m, No. 225

a = 4.4262 Å, b = 4.4262 Å, c = 4.4262 Å
α = 60.00°, β = 60.00°, γ = 60.00°
Last column: nearest neighbours and their distance in Å.
Positions (direct):
Sc1 0.2500 0.2500 0.2500  4 Co 2.71, 4 F 2.71
Sc2 0.7500 0.7500 0.7500  4 F 2.71, 4 Co 2.71
Co1 0.5000 0.5000 0.5000  8 Sc 2.71
F1 0.0000 0.0000 0.0000  8 Sc 2.71